Entry 1:
Computed, not measured: B3C2 after structural relaxation at the PBE level of DFT.

Values from the calculation:
N(E_F) = 0.3 states/eV per cell
energy of formation = 378 meV per atom
energy above the lowest structure with this stoichiometry = 166.9 meV per atom
total energy = -73.181 eV for the cell shown
crystal system = triclinic
space-group type = P1 (1)

abc: 3.371 4.315 5.070
angles: 95.97 106.64 108.87
Positions (direct):
B 0.000 0.000 0.000
B 0.008 0.189 0.378
B 0.169 0.606 0.870
B 0.468 0.215 0.710
B 0.573 0.910 0.449
B 0.644 0.520 0.542
C 0.117 0.771 0.200
C 0.361 0.325 0.982
C 0.538 0.851 0.750
C 0.782 0.467 0.248

***

Entry 2:
Computed, not measured: B7C5 after structural relaxation at the PBE level of DFT.

Values from the calculation:
N(E_F) = 0.9 states/eV per cell
energy of formation = 371 meV per atom
energy above the lowest structure with this stoichiometry = 206.4 meV per atom
total energy = -88.411 eV for the cell shown
crystal system = triclinic
space-group type = P1 (1)

abc: 3.737 4.697 5.555
angles: 106.61 91.80 112.65
Positions (direct):
B 0.000 0.000 0.000
B 0.000 0.060 0.526
B 0.397 0.687 0.712
B 0.417 0.386 0.144
B 0.680 0.315 0.361
B 0.735 0.354 0.780
B 0.987 0.682 0.310
C 0.100 0.687 0.923
C 0.346 0.694 0.154
C 0.419 0.352 0.580
C 0.755 0.979 0.242
C 0.761 0.020 0.758

***

Entry 3:
Computed, not measured: B7C5 after structural relaxation at the PBE level of DFT.

Values from the calculation:
N(E_F) = 1.5 states/eV per cell
energy of formation = 399 meV per atom
energy above the lowest structure with this stoichiometry = 234.1 meV per atom
total energy = -88.079 eV for the cell shown
crystal system = triclinic
space-group type = P1 (1)

abc: 3.752 3.870 6.112
angles: 102.33 95.24 92.47
Positions (direct):
B 0.000 0.000 0.000
B 0.007 0.670 0.380
B 0.054 0.405 0.645
B 0.338 0.398 0.993
B 0.428 0.765 0.638
B 0.568 0.037 0.903
B 0.814 0.999 0.246
C 0.194 0.346 0.217
C 0.244 0.699 0.868
C 0.252 0.054 0.515
C 0.497 0.202 0.364
C 0.708 0.515 0.523

***

Which formula does entry 2 have? B7C5

***

Which formula does entry 2 have? B7C5